A plane-wave DFT calculation with GGA-PBE was carried out for an optimized crystal structure of Sr3GaAg2O6.

extended XYZ file:
```
12
Lattice="5.868 0.000 0.000 -2.934 5.082 0.000 0.000 0.000 6.365" Properties=species:S:1:pos:R:3 pbc="T T T"
Ag 0.000 3.388 0.684
Ag 2.934 1.694 5.681
Sr 2.934 1.694 2.525
Sr 0.000 3.388 3.840
Sr 0.000 0.000 0.000
O 1.531 4.272 1.996
O 2.934 3.462 4.369
O -1.531 4.272 1.996
O 0.000 1.620 1.996
O 4.465 0.810 4.369
O 1.403 0.810 4.369
Ga 0.000 0.000 3.182
```

Values from the calculation:
The space group is P-3m1 (164). As for the uncorrected formation energy: -1532 meV/atom. The value obtained for the magnetic moment is 0.00 μB per formula unit.

---

A plane-wave DFT calculation with GGA-PBE was carried out for an optimized crystal structure of LuTc2.

extended XYZ file:
```
3
Lattice="3.178 0.000 0.000 0.000 3.178 0.000 -1.589 -1.589 5.194" Properties=species:S:1:pos:R:3 pbc="T T T"
Lu 0.000 0.000 0.000
Tc 1.589 1.589 1.891
Tc 0.000 0.000 3.303
```

Values from the calculation:
Its total energy is -8.50 eV/atom. The space group is I4/mmm (139). The value obtained for the magnetic moment is 0.00 μB per formula unit.